[1]
DFT (PBE) results for an optimized crystal structure of Ga4Hg11As4Br16.

a b c (Å): 7.874 7.932 23.185
angles (deg): 97.77 90.00 119.76
Sites, in units of the cell vectors:
Br 0.050 0.584 0.151
As 0.585 0.171 0.671
Hg 0.733 0.967 0.279
Ga 0.758 0.516 0.385
Hg 0.234 0.468 0.283
Br 0.468 0.936 0.849
Hg 0.000 0.000 0.000
Hg 0.235 0.967 0.279
Hg 0.267 0.033 0.721
Br 0.950 0.416 0.849
Br 0.074 0.641 0.586
Br 0.928 0.856 0.421
Br 0.664 0.328 0.991
Hg 0.474 0.947 0.442
Ga 0.362 0.723 0.111
Ga 0.638 0.277 0.889
Br 0.466 0.416 0.849
Ga 0.242 0.484 0.615
Br 0.072 0.144 0.579
As 0.057 0.115 0.232
Hg 0.765 0.033 0.721
As 0.943 0.885 0.768
Br 0.433 0.359 0.414
Hg 0.032 0.063 0.117
Br 0.534 0.584 0.151
Br 0.336 0.672 0.009
Br 0.926 0.359 0.414
Br 0.567 0.641 0.586
Br 0.532 0.064 0.151
Br 0.738 0.476 0.282
Hg 0.526 0.053 0.558
Hg 0.766 0.532 0.717
Br 0.262 0.524 0.718
As 0.415 0.829 0.329
Hg 0.968 0.937 0.883

- ρ: 5.43 g/cm3
- VASP energy: -79.17 eV for the cell shown

=====

[2]
DFT (PBE) results for an optimized crystal structure of Gd2AsIBr.

a b c (Å): 4.161 4.161 10.740
angles (deg): 90.00 90.00 120.00
Sites, in units of the cell vectors:
Gd 0.333 0.667 0.858
Gd 0.667 0.333 0.151
Br 0.333 0.667 0.317
As 0.000 0.000 0.005
I 0.667 0.333 0.668

- ρ: 6.15 g/cm3
- VASP energy: -25.20 eV for the cell shown
- Total magnetic moment: 0.00 μB/f.u.

=====

[3]
DFT (PBE) results for an optimized crystal structure of GdYAsBr2.

a b c (Å): 4.083 4.083 9.965
angles (deg): 90.00 90.00 120.00
Sites, in units of the cell vectors:
Br 0.000 0.000 0.159
Br 0.667 0.333 0.839
Y 0.000 0.000 0.660
Gd 0.667 0.333 0.340
As 0.333 0.667 0.502

- ρ: 5.55 g/cm3
- VASP energy: -27.68 eV for the cell shown
- Total magnetic moment: 0.00 μB/f.u.